(1)
Entry from Alexandria: PrNd3Y3 after structural relaxation (PBE-GGA).

```
data_PrNd3Y3
_chemical_formula_sum 'Pr3 Nd9 Y9'
_space_group_name_H-M_alt 'R 3 m'
_space_group_IT_number 160
_space_group_name_Hall 'R 3 -2"'
_cell_length_a 10.7666
_cell_length_b 10.7666
_cell_length_c 7.2220
_cell_angle_alpha 90.00
_cell_angle_beta 90.00
_cell_angle_gamma 120.00
loop_
_atom_site_label
_atom_site_type_symbol
_atom_site_fract_x
_atom_site_fract_y
_atom_site_fract_z
_atom_site_occupancy
Pr1 Pr 0.0000 0.0000 0.0000 1
Nd1 Nd 0.0406 0.5203 0.4881 1
Y1 Y 0.0880 0.5440 0.0225 1
```

=====

(2)
Entry from Alexandria: Pr7NdY3 after structural relaxation (PBE-GGA).

```
data_Pr7NdY3
_chemical_formula_sum 'Pr7 Nd1 Y3'
_space_group_name_H-M_alt 'P 3 m 1'
_space_group_IT_number 156
_space_group_name_Hall 'P 3 -2"'
_cell_length_a 7.2980
_cell_length_b 7.2980
_cell_length_c 8.7917
_cell_angle_alpha 90.00
_cell_angle_beta 90.00
_cell_angle_gamma 120.00
loop_
_atom_site_label
_atom_site_type_symbol
_atom_site_fract_x
_atom_site_fract_y
_atom_site_fract_z
_atom_site_occupancy
Pr1 Pr 0.0000 0.0000 0.0000 1
Pr2 Pr 0.0000 0.5000 0.0185 1
Pr3 Pr 0.1668 0.3335 0.6675 1
Nd1 Nd 0.6667 0.3333 0.6857 1
Y1 Y 0.3337 0.1668 0.3434 1
```

=====

Results for E: -5.2499, -5.0573 (in eV per atom, following the order of the records).
Results for offset from the most stable computed form: 0.040, 0.000 (in eV per atom, following the order of the records).
Results for energy relative to the elements: 247, 181 (in meV per atom, following the order of the records).